Entry 1:
This record from the Alexandria database describes Sr2InSi3Au4 after structural relaxation. The functional is PBE.

a = 4.4308 Å, b = 4.4308 Å, c = 10.9899 Å
α = 90.00°, β = 90.00°, γ = 90.00°
Fractional positions:
In1 0.5000 0.5000 0.5000
Sr1 0.5000 0.0000 0.2387
Sr2 0.0000 0.5000 0.7613
Au1 0.0000 0.5000 0.3489
Au2 0.5000 0.0000 0.6511
Au3 0.5000 0.5000 0.0000
Au4 0.0000 0.0000 0.0000
Si1 0.5000 0.0000 0.8762
Si2 0.0000 0.5000 0.1238
Si3 0.0000 0.0000 0.5000

Computed properties:
* SG: P-4m2 (115)
* formation energy (no corrections): -0.472 eV per atom
* uncorrected energy: -40.2 eV/f.u.
* N(E_F): 4.57 states/eV per cell
* magnetic moment: 0.0 μB/cell

Entry 2:
This record from the Alexandria database describes Tc2PdCl after structural relaxation. The functional is PBE.

a = 5.2883 Å, b = 5.2883 Å, c = 6.7951 Å
α = 67.10°, β = 67.10°, γ = 90.00°
Fractional positions:
Tc1 0.3750 0.4177 0.7500
Tc2 0.5823 0.1250 0.2500
Tc3 0.1677 0.6250 0.2500
Tc4 0.8750 0.8323 0.7500
Cl1 0.2500 0.7500 0.5000
Cl2 0.5000 0.5000 0.0000
Pd1 0.0000 0.0000 0.0000
Pd2 0.7500 0.2500 0.5000

Computed properties:
* SG: I-42d (122)
* formation energy (no corrections): 1.198 eV per atom
* energy above the lowest structure with this stoichiometry: 395 meV/atom
* uncorrected energy: -23.0 eV/f.u.
* N(E_F): 9.35 states/eV per cell
* magnetic moment: 0.0 μB/cell

Entry 3:
This record from the Alexandria database describes ErGeI2 after structural relaxation. The functional is PBE.

a = 3.8852 Å, b = 3.8852 Å, c = 10.6319 Å
α = 79.47°, β = 79.47°, γ = 60.00°
Fractional positions:
I1 0.9047 0.9047 0.2859
I2 0.0953 0.0953 0.7141
Ge1 0.5000 0.5000 0.5000
Er1 0.0000 0.0000 0.0000

Computed properties:
* SG: R-3m (166)
* formation energy (no corrections): 0.013 eV per atom
* uncorrected energy: -12.2 eV/f.u.
* N(E_F): 2.48 states/eV per cell
* magnetic moment: 0.0 μB/cell

> What is the magnetic moment in the second record?

0.0 μB/cell